# Pr2Y3Tm

A relaxed structure of Pr2Y3Tm (GGA-PBE, the Alexandria database).

Cell and atoms, written as CIF:
```
data_Pr2Y3Tm
_symmetry_space_group_name_H-M 'P 1'
_symmetry_Int_Tables_number 1
_symmetry_space_group_name_Hall 'P 1'
_cell_length_a 6.687
_cell_length_b 17.746
_cell_length_c 3.407
_cell_angle_alpha 90.00
_cell_angle_beta 90.00
_cell_angle_gamma 90.00
loop_
_atom_site_label
_atom_site_type_symbol
_atom_site_fract_x
_atom_site_fract_y
_atom_site_fract_z
Pr1 Pr 0.239 0.150 0.000
Pr2 Pr 0.261 0.650 0.500
Pr3 Pr 0.739 0.350 0.500
Pr4 Pr 0.761 0.850 0.000
Y1 Y 0.000 0.000 0.500
Y2 Y 0.244 0.323 0.500
Y3 Y 0.256 0.823 0.000
Y4 Y 0.500 0.500 0.000
Y5 Y 0.744 0.177 0.000
Y6 Y 0.756 0.677 0.500
Tm1 Tm 0.000 0.500 0.500
Tm2 Tm 0.500 0.000 0.000
```

Formation enthalpy at 0 K: 145.0 kJ/mol of formula units
Total energy: -31.92 eV/f.u.
Size of the total moment: 0.0 μB/cell
DOS(E_F): 18.44 states/eV/cell